No. 1
Computed, not measured: a geometry-optimized NiTe2Cl structure at the GGA-PBE level of DFT.

a = 9.064 Å, b = 9.064 Å, c = 9.064 Å
α = 23.31°, β = 23.31°, γ = 23.31°
Fractional coordinates of all 4 atoms:
Ni  0.746  0.746  0.746
Cl  0.459  0.459  0.459
Te  0.024  0.024  0.024
Te  0.271  0.271  0.271

Values from the calculation:
Raw formation energy: -145.2 meV/atom
Spin magnetization: 0.000 μB per atom
Mass density: 5.7 g/cm³
Calculated volume: 102.3 Å³/cell

No. 2
Computed, not measured: a geometry-optimized Li3Bi2Au structure at the GGA-PBE level of DFT.

a = 4.441 Å, b = 8.663 Å, c = 8.179 Å
α = 121.98°, β = 105.75°, γ = 90.00°
Fractional coordinates of all 12 atoms:
Li  0.158  0.908  0.317
Li  0.842  0.092  0.683
Li  0.158  0.408  0.317
Li  0.842  0.592  0.683
Li  0.500  0.250  0.000
Li  0.500  0.750  0.000
Bi  0.349  0.849  0.697
Bi  0.652  0.651  0.303
Bi  0.651  0.151  0.303
Bi  0.348  0.349  0.697
Au  0.000  0.500  0.000
Au  0.000  0.000  0.000

Values from the calculation:
Spin magnetization: 0.000 μB per atom
Mass density: 8.4 g/cm³
Calculated volume: 252.9 Å³/cell
Relative energy among the computed polymorphs: 16 meV/atom
Formation energy from the elements: -0.406 eV per atom

- The lowest calculated volume belongs to which entry?
  NiTe2Cl